RbSrCd4 | PBE | optimized geometry

The space group is Pmmm (No. 47) and the conventional cell measures 4.265, 5.143 and 9.084 Å, with angles of 90.00, 90.00 and 90.00 degrees. The asymmetric unit holds Rb at (0.000, 0.000, 0.000), Sr at (0.000, 0.500, 0.500), Cd at (0.500, 0.000, 0.340) and Cd at (0.500, 0.500, 0.172).

The volume is 199.2 Å³ per cell. As for the formation energy: -0.150 eV/atom. The excess energy over the best structure of this formula in the dataset is 0.000 eV per atom.